Run i
This record from the Alexandria database describes crystalline AlTl2Cl at its relaxed geometry. The functional is GGA-PBEsol.

Cell lengths 3.3345, 3.3345, 9.1209 Å; angles 90.00, 90.00, 104.90 degrees
Last column: nearest neighbours and their distance in Å.
Atoms (fractional coordinates):
1 Al 0.5000 0.5000 0.5000  4 Tl 3.10, 4 Al 3.33
2 Cl 0.5000 0.5000 0.0000  4 Tl 3.00, 4 Cl 3.33
3 Tl 0.0000 0.0000 0.7573  2 Cl 3.00, 2 Al 3.10, 4 Tl 3.33
4 Tl 0.0000 0.0000 0.2427  2 Cl 3.00, 2 Al 3.10, 4 Tl 3.33

Run ii
This record from the Alexandria database describes crystalline AlTl2Cl at its relaxed geometry. The functional is GGA-PBEsol.

Cell lengths 5.1906, 5.1906, 5.1906 Å; angles 60.00, 60.00, 60.00 degrees
Last column: nearest neighbours and their distance in Å.
Atoms (fractional coordinates):
1 Tl 0.7500 0.7500 0.7500  4 Cl 3.18, 4 Al 3.18
2 Tl 0.2500 0.2500 0.2500  4 Cl 3.18, 4 Al 3.18
3 Al 0.0000 0.0000 0.0000  8 Tl 3.18
4 Cl 0.5000 0.5000 0.5000  8 Tl 3.18

Most stable structure: run i

Run i
This record from the Alexandria database describes crystalline AlWCl2 at its relaxed geometry. The functional is GGA-PBEsol.

Cell lengths 2.8395, 4.3417, 5.3182 Å; angles 90.00, 90.00, 90.00 degrees
Last column: nearest neighbours and their distance in Å.
Atoms (fractional coordinates):
1 Al 0.0000 0.5000 0.5000  4 Cl 2.59, 2 Al 2.84
2 W 0.5000 0.5000 0.0000  4 Cl 2.59, 2 W 2.84
3 Cl 0.5000 0.0000 0.5000  4 Al 2.59, 2 Cl 2.84
4 Cl 0.0000 0.0000 0.0000  4 W 2.59, 2 Cl 2.84

Run ii
This record from the Alexandria database describes crystalline AlWCl2 at its relaxed geometry. The functional is GGA-PBEsol.

Cell lengths 2.9331, 5.9423, 5.9423 Å; angles 72.51, 75.71, 75.71 degrees
Last column: nearest neighbours and their distance in Å.
Atoms (fractional coordinates):
1 W 0.5085 0.4915 0.4915  2 Cl 2.35, 2 Al 2.59
2 Cl 0.9420 0.0580 0.0580  2 Al 2.34
3 Cl 0.8071 0.6929 0.6929  2 W 2.35
4 Al 0.2424 0.2576 0.2576  2 Cl 2.34, 2 W 2.59

Most stable structure: run ii

Run i
This record from the Alexandria database describes crystalline YAlCl2 at its relaxed geometry. The functional is GGA-PBEsol.

Cell lengths 3.4015, 5.3926, 5.0952 Å; angles 97.94, 109.50, 90.00 degrees
Last column: nearest neighbours and their distance in Å.
Atoms (fractional coordinates):
1 Cl 0.7943 0.7759 0.5885  1 Al 2.64, 2 Y 2.75
2 Cl 0.2057 0.2241 0.4115  1 Al 2.64, 2 Y 2.75
3 Al 0.0000 0.5000 0.0000  2 Cl 2.64
4 Y 0.5000 0.0000 0.0000  4 Cl 2.75

Run ii
This record from the Alexandria database describes crystalline YAlCl2 at its relaxed geometry. The functional is GGA-PBEsol.

Cell lengths 3.3951, 4.4132, 5.6036 Å; angles 90.00, 90.00, 90.00 degrees
Last column: nearest neighbours and their distance in Å.
Atoms (fractional coordinates):
1 Cl 0.0000 0.0000 0.0000  4 Y 2.78
2 Cl 0.5000 0.0000 0.5000  4 Al 2.78
3 Al 0.0000 0.5000 0.5000  4 Cl 2.78
4 Y 0.5000 0.5000 0.0000  4 Cl 2.78

Run iii
This record from the Alexandria database describes crystalline YAlCl2 at its relaxed geometry. The functional is GGA-PBEsol.

Cell lengths 3.3970, 3.3970, 9.7168 Å; angles 79.93, 79.93, 60.00 degrees
Last column: nearest neighbours and their distance in Å.
Atoms (fractional coordinates):
1 Y 0.5000 0.5000 0.5000  6 Cl 2.70
2 Cl 0.2318 0.2318 0.3047  3 Y 2.70
3 Cl 0.7682 0.7682 0.6953  3 Y 2.70
4 Al 0.0000 0.0000 0.0000  6 Al 3.40, 6 Cl 3.50

Most stable structure: run i

Run i
This record from the Alexandria database describes crystalline AlCo5 at its relaxed geometry. The functional is GGA-PBEsol.

Cell lengths 3.4880, 3.5052, 5.5373 Å; angles 71.55, 90.00, 90.00 degrees
Last column: nearest neighbours and their distance in Å.
Atoms (fractional coordinates):
1 Al 0.0000 0.5000 0.0000  12 Co 2.47-2.52
2 Co 0.5000 0.3285 0.3430  10 Co 2.39-2.51, 2 Al 2.51
3 Co 0.5000 0.0000 0.0000  4 Al 2.47, 8 Co 2.51-2.52
4 Co 0.0000 0.1729 0.6541  10 Co 2.39-2.52, 2 Al 2.52
5 Co 0.0000 0.8271 0.3459  10 Co 2.39-2.52, 2 Al 2.52
6 Co 0.5000 0.6715 0.6570  10 Co 2.39-2.51, 2 Al 2.51

Run ii
This record from the Alexandria database describes crystalline AlCo5 at its relaxed geometry. The functional is GGA-PBEsol.

Cell lengths 2.5396, 4.7052, 5.7834 Å; angles 104.97, 90.00, 105.66 degrees
Last column: nearest neighbours and their distance in Å.
Atoms (fractional coordinates):
1 Co 0.6705 0.3410 0.3435  10 Co 2.39-2.54, 2 Al 2.45
2 Co 0.0529 0.1058 0.6028  11 Co 2.42-2.54, 1 Al 2.50
3 Co 0.3819 0.7638 0.2795  10 Co 2.39-2.54, 2 Al 2.50
4 Co 0.3307 0.6615 0.6634  10 Co 2.39-2.54, 2 Al 2.54
5 Co 0.7241 0.4482 0.9339  9 Co 2.41-2.54, 3 Al 2.48
6 Al 0.0065 0.0130 0.0102  10 Co 2.45-2.54, 2 Al 2.54

Run iii
This record from the Alexandria database describes crystalline AlCo5 at its relaxed geometry. The functional is GGA-PBEsol.

Cell lengths 2.5653, 2.5653, 9.7996 Å; angles 90.00, 90.00, 90.00 degrees
Last column: nearest neighbours and their distance in Å.
Atoms (fractional coordinates):
1 Co 0.5000 0.5000 0.6668  12 Co 2.40-2.57
2 Co 0.0000 0.0000 0.8272  8 Co 2.40-2.57, 4 Al 2.48
3 Co 0.5000 0.5000 0.3332  12 Co 2.40-2.57
4 Co 0.0000 0.0000 0.1728  8 Co 2.40-2.57, 4 Al 2.48
5 Co 0.0000 0.0000 0.5000  12 Co 2.44-2.57
6 Al 0.5000 0.5000 0.0000  8 Co 2.48, 4 Al 2.57

Most stable structure: run i

Run i
This record from the Alexandria database describes crystalline AlCo5 at its relaxed geometry. The functional is GGA-PBEsol.

Cell lengths 4.0231, 4.2910, 4.2910 Å; angles 120.00, 90.00, 90.00 degrees
Last column: nearest neighbours and their distance in Å.
Atoms (fractional coordinates):
1 Co 0.0000 0.6600 0.0000  10 Co 2.45-2.53, 2 Al 2.49
2 Co 0.0000 0.3400 0.3400  10 Co 2.45-2.53, 2 Al 2.49
3 Co 0.5000 0.6667 0.3333  9 Co 2.46-2.48, 3 Al 2.48
4 Co 0.5000 0.3333 0.6667  9 Co 2.46-2.48, 3 Al 2.48
5 Co 0.0000 0.0000 0.6600  10 Co 2.45-2.53, 2 Al 2.49
6 Al 0.5000 0.0000 0.0000  12 Co 2.48-2.49

Run ii
This record from the Alexandria database describes crystalline AlCo5 at its relaxed geometry. The functional is GGA-PBEsol.

Cell lengths 2.5537, 3.9822, 6.4555 Å; angles 90.00, 101.41, 90.00 degrees
Last column: nearest neighbours and their distance in Å.
Atoms (fractional coordinates):
1 Al 0.9959 0.0000 0.9919  10 Co 2.45-2.53, 2 Al 2.55
2 Co 0.1162 0.5000 0.2325  10 Co 2.45-2.55, 2 Al 2.51
3 Co 0.4446 0.5000 0.8893  8 Co 2.43-2.55, 4 Al 2.45
4 Co 0.7811 0.5000 0.5622  12 Co 2.43-2.55
5 Co 0.3272 0.0000 0.6545  10 Co 2.38-2.55, 2 Al 2.49
6 Co 0.6682 0.0000 0.3364  10 Co 2.38-2.55, 2 Al 2.53

Most stable structure: run i

Run i
This record from the Alexandria database describes crystalline AlCo4 at its relaxed geometry. The functional is GGA-PBEsol.

Cell lengths 2.5135, 2.5135, 10.3614 Å; angles 90.00, 90.00, 120.00 degrees
Last column: nearest neighbours and their distance in Å.
Atoms (fractional coordinates):
1 Co 0.3333 0.6667 0.4075  4 Co 2.23-2.40
2 Co 0.3333 0.6667 0.1920  1 Co 2.23, 3 Al 2.46
3 Co 0.6667 0.3333 0.5925  4 Co 2.23-2.40
4 Co 0.6667 0.3333 0.8080  1 Co 2.23, 3 Al 2.46
5 Al 0.0000 0.0000 0.0000  6 Co 2.46, 6 Al 2.51

Run ii
This record from the Alexandria database describes crystalline AlCo4 at its relaxed geometry. The functional is GGA-PBEsol.

Cell lengths 3.5241, 4.2910, 4.2910 Å; angles 80.29, 65.75, 65.75 degrees
Last column: nearest neighbours and their distance in Å.
Atoms (fractional coordinates):
1 Co 0.8042 0.6010 0.7905  9 Co 2.41-2.53, 3 Al 2.49
2 Co 0.4052 0.7905 0.3990  9 Co 2.41-2.53, 3 Al 2.49
3 Co 0.5948 0.2095 0.6010  9 Co 2.41-2.53, 3 Al 2.49
4 Co 0.1958 0.3990 0.2095  9 Co 2.41-2.53, 3 Al 2.49
5 Al 0.0000 0.0000 0.0000  12 Co 2.49

Most stable structure: run ii